The following is a DFT calculation (GGA-PBE) of a relaxed structure of TaAlIO2.

Summary:
Relative energy among the computed polymorphs: 0.000 eV per atom
Space-group type: P4/mmm
M_tot: 0.7 μB/f.u.
ΔE_f (raw): -5.02 eV/f.u.
Density: 5944 kg/m3
Total DFT energy (no corrections): -32.08 eV/f.u.

Cell: 4.036 4.036 6.292 Å, 90.00 90.00 90.00°
Fractional coordinates of all 5 atoms:
Ta: 0.000 0.000 0.000
Al: 0.500 0.500 0.500
I: 0.000 0.000 0.500
O: 0.000 0.500 0.000
O: 0.500 0.000 0.000